# 1
TeRh2Se PBE relaxed; ΔE to the lowest computed polymorph = 0.274 eV/atom; formation energy from raw total energies = -7 meV per atom
1.0
-0.682 -3.339 -3.104
-4.284 -1.371 -1.006
-1.839 1.009 -4.104
Rh Te Se
2 1 1
Cartesian
-5.104 -2.775 -6.160
-1.701 -0.925 -2.053
-3.402 -1.850 -4.107
0.000 0.000 0.000

# 2
Ac6Os2RhBr3 PBE relaxed; formation energy from raw total energies = -869 meV per atom
1.0
7.521 -0.002 0.000
-3.760 6.513 0.000
-1.254 -2.172 8.232
Ac Br Rh Os
6 3 1 2
Cartesian
-1.274 2.205 1.602
2.487 4.305 1.602
2.547 -0.001 1.602
0.020 0.034 6.630
3.780 2.134 6.631
-0.040 4.341 6.631
-2.490 4.332 4.116
1.253 2.170 4.116
4.996 0.008 4.116
0.000 0.000 0.000
3.759 2.171 0.000
0.002 4.341 0.000

# 3
La2Bi2H PBE relaxed; ΔE to the lowest computed polymorph = 0.000 eV/atom
1.0
4.710 0.000 0.000
0.000 7.902 0.000
-2.355 0.000 8.120
H La Bi
2 4 4
Cartesian
0.000 0.619 6.623
2.355 4.570 1.498
0.000 3.165 7.217
2.355 0.215 5.567
0.000 4.166 2.554
2.355 7.116 0.903
2.355 5.454 7.460
0.000 7.414 3.334
2.355 3.462 4.786
0.000 1.503 0.661

# 4
Ba2Tl2Cd PBE relaxed; ΔE to the lowest computed polymorph = 0.221 eV/atom; E_form = -0.135 eV per atom
1.0
-1.285 5.130 -4.357
-6.730 -0.957 0.859
-3.985 5.049 1.731
Cd Tl Ba
1 2 2
Cartesian
0.000 0.000 0.000
-8.000 6.204 -1.113
-4.001 3.018 -0.654
-4.639 6.133 -2.188
-7.361 3.089 0.420

# 5
Tb12Nd7Er PBE relaxed; ΔE to the lowest computed polymorph = 0.402 eV/atom; E_form = 0.631 eV per atom
1.0
-3.043 -4.628 -8.143
8.940 -3.290 2.499
-6.321 -1.774 7.341
Tb Nd Er
12 7 1
Cartesian
-5.513 -2.479 3.533
5.089 -7.213 -1.837
5.186 -2.920 3.689
2.095 -3.194 1.029
-0.097 -4.301 -5.524
-1.657 -2.820 2.225
0.431 -6.170 3.281
-0.856 -3.522 -1.585
-5.610 -6.772 -1.992
1.232 -6.872 -0.529
-2.520 -6.498 0.668
-0.327 -5.391 7.220
-3.161 -0.887 3.670
2.948 -3.959 -2.822
-1.522 -2.314 -4.072
-0.212 -4.846 0.848
4.470 -1.645 1.250
-4.682 -3.201 -0.401
1.309 -2.532 4.920
0.000 0.000 0.000

# 6
DyInCuHg PBE relaxed; E_form = -0.272 eV per atom
1.0
4.943 0.000 0.000
2.472 4.281 0.000
2.472 1.427 4.036
Cu Hg Dy In
1 1 1 1
Cartesian
2.472 1.427 1.009
7.415 4.281 3.027
0.000 0.000 0.000
4.943 2.854 2.018

# 7
CeNd10Dy4 PBE relaxed; E_form = 0.319 eV per atom
1.0
9.772 0.000 4.413
4.886 6.969 2.206
2.018 0.000 8.558
Nd Ce Dy
10 1 4
Cartesian
5.474 0.668 4.982
14.261 6.302 11.577
7.968 4.682 4.330
10.781 3.485 8.692
5.895 3.485 6.485
11.202 6.302 10.195
5.649 2.287 9.465
8.709 2.287 10.847
2.415 0.668 3.600
11.027 4.682 5.712
0.000 0.000 0.000
8.654 1.897 6.890
8.023 5.072 8.287
4.105 4.251 3.936
12.571 2.718 11.242

# 8
La2AgBiH PBE relaxed; electronic total energy = -4.53 eV/atom
1.0
-4.545 -2.492 0.186
0.036 -0.451 -5.167
2.145 -3.884 0.354
Ag H Bi La
1 1 1 2
Cartesian
1.072 -1.942 0.177
0.000 0.000 0.000
-1.182 -3.414 -2.313
0.018 -0.226 -2.583
-2.272 -1.246 0.093